The following is a DFT calculation (PBE-GGA) of a geometry-optimized PmTlHgCl6 structure.

## Properties
formation energy (no corrections): -1.431 eV/atom
symmetry: No. 163

```
data_PmTlHgCl6
_symmetry_space_group_name_H-M 'P 1'
_symmetry_Int_Tables_number 1
_symmetry_space_group_name_Hall 'P 1'
_cell_length_a 7.1066
_cell_length_b 7.1066
_cell_length_c 13.9483
_cell_angle_alpha 90.00
_cell_angle_beta 90.00
_cell_angle_gamma 120.00
loop_
_atom_site_label
_atom_site_type_symbol
_atom_site_fract_x
_atom_site_fract_y
_atom_site_fract_z
Cl1 Cl 0.6294 0.6278 0.6382
Cl2 Cl 0.6278 0.9984 0.3618
Hg1 Hg 0.6667 0.3333 0.7500
Pm1 Pm 0.6667 0.3333 0.2500
Tl1 Tl 0.0000 0.0000 0.0000
Cl3 Cl 0.9984 0.6278 0.8618
Tl2 Tl 0.0000 0.0000 0.5000
Cl4 Cl 0.3722 0.0016 0.6382
Cl5 Cl 0.3706 0.3722 0.3618
Cl6 Cl 0.0016 0.6294 0.3618
Hg2 Hg 0.3333 0.6667 0.2500
Cl7 Cl 0.9984 0.3706 0.6382
Cl8 Cl 0.3722 0.3706 0.8618
Cl9 Cl 0.3706 0.9984 0.1382
Cl10 Cl 0.6278 0.6294 0.1382
Pm2 Pm 0.3333 0.6667 0.7500
Cl11 Cl 0.0016 0.3722 0.1382
Cl12 Cl 0.6294 0.0016 0.8618
```

The following is a DFT calculation (PBE-GGA) of a geometry-optimized Li2OsCl structure.

## Properties
formation energy (no corrections): 0.406 eV/atom
symmetry: No. 122
energy above the most stable polymorph in this dataset: 0.721 eV/atom

```
data_Li2OsCl
_symmetry_space_group_name_H-M 'P 1'
_symmetry_Int_Tables_number 1
_symmetry_space_group_name_Hall 'P 1'
_cell_length_a 6.9101
_cell_length_b 6.9101
_cell_length_c 5.4806
_cell_angle_alpha 50.92
_cell_angle_beta 50.92
_cell_angle_gamma 90.00
loop_
_atom_site_label
_atom_site_type_symbol
_atom_site_fract_x
_atom_site_fract_y
_atom_site_fract_z
Li1 Li 0.3750 0.4167 0.7500
Os1 Os 0.7500 0.2500 0.5000
Cl1 Cl 0.5000 0.5000 0.0000
Os2 Os 0.0000 0.0000 0.0000
Li2 Li 0.5833 0.1250 0.2500
Li3 Li 0.8750 0.8333 0.7500
Cl2 Cl 0.2500 0.7500 0.5000
Li4 Li 0.1667 0.6250 0.2500
```

The following is a DFT calculation (PBE-GGA) of a geometry-optimized YNb structure.

## Properties
formation energy: 2.480 eV/atom
symmetry: No. 216
energy above the most stable polymorph in this dataset: 2.360 eV/atom

```
data_YNb
_symmetry_space_group_name_H-M 'P 1'
_symmetry_Int_Tables_number 1
_symmetry_space_group_name_Hall 'P 1'
_cell_length_a 6.7402
_cell_length_b 6.7402
_cell_length_c 6.7402
_cell_angle_alpha 90.00
_cell_angle_beta 90.00
_cell_angle_gamma 90.00
loop_
_atom_site_label
_atom_site_type_symbol
_atom_site_fract_x
_atom_site_fract_y
_atom_site_fract_z
Nb1 Nb 0.5000 0.5000 0.0000
Nb2 Nb 0.0000 0.5000 0.5000
Y1 Y 0.2500 0.2500 0.2500
Y2 Y 0.7500 0.2500 0.7500
Y3 Y 0.7500 0.7500 0.2500
Y4 Y 0.2500 0.7500 0.7500
Nb3 Nb 0.0000 0.0000 0.0000
Nb4 Nb 0.5000 0.0000 0.5000
```

The following is a DFT calculation (PBE-GGA) of a geometry-optimized BaCaSc2 structure.

## Properties
formation energy: 0.367 eV/atom
symmetry: No. 123
energy above the most stable polymorph in this dataset: 0.171 eV/atom

```
data_BaCaSc2
_symmetry_space_group_name_H-M 'P 1'
_symmetry_Int_Tables_number 1
_symmetry_space_group_name_Hall 'P 1'
_cell_length_a 4.1043
_cell_length_b 4.1043
_cell_length_c 8.4352
_cell_angle_alpha 90.00
_cell_angle_beta 90.00
_cell_angle_gamma 90.00
loop_
_atom_site_label
_atom_site_type_symbol
_atom_site_fract_x
_atom_site_fract_y
_atom_site_fract_z
Sc1 Sc 0.0000 0.0000 0.5449
Sc2 Sc 0.0000 0.0000 0.9551
Ba1 Ba 0.5000 0.5000 0.2500
Ca1 Ca 0.5000 0.5000 0.7500
```

The following is a DFT calculation (PBE-GGA) of a geometry-optimized Ac4AlHgI2 structure.

## Properties
formation energy (no corrections): -0.621 eV/atom
symmetry: No. 10

```
data_Ac4AlHgI2
_symmetry_space_group_name_H-M 'P 1'
_symmetry_Int_Tables_number 1
_symmetry_space_group_name_Hall 'P 1'
_cell_length_a 4.7317
_cell_length_b 8.3153
_cell_length_c 8.3623
_cell_angle_alpha 108.74
_cell_angle_beta 90.00
_cell_angle_gamma 90.00
loop_
_atom_site_label
_atom_site_type_symbol
_atom_site_fract_x
_atom_site_fract_y
_atom_site_fract_z
Ac1 Ac 0.0000 0.7357 0.2198
Ac2 Ac 0.5000 0.2433 0.2197
Ac3 Ac 0.5000 0.7567 0.7803
Hg1 Hg 0.0000 0.0000 0.0000
I1 I 0.5000 0.0000 0.5000
Al1 Al 0.5000 0.5000 0.0000
I2 I 0.0000 0.5000 0.5000
Ac4 Ac 0.0000 0.2643 0.7802
```

The following is a DFT calculation (PBE-GGA) of a geometry-optimized ZrNiH2 structure.

## Properties
symmetry: No. 122
energy above the most stable polymorph in this dataset: 0.159 eV/atom

```
data_ZrNiH2
_symmetry_space_group_name_H-M 'P 1'
_symmetry_Int_Tables_number 1
_symmetry_space_group_name_Hall 'P 1'
_cell_length_a 4.0184
_cell_length_b 4.0184
_cell_length_c 5.6034
_cell_angle_alpha 68.99
_cell_angle_beta 68.99
_cell_angle_gamma 90.00
loop_
_atom_site_label
_atom_site_type_symbol
_atom_site_fract_x
_atom_site_fract_y
_atom_site_fract_z
Ni1 Ni 0.5000 0.5000 0.0000
Zr1 Zr 0.0000 0.0000 0.0000
H1 H 0.8750 0.7753 0.7500
Ni2 Ni 0.2500 0.7500 0.5000
H2 H 0.2247 0.6250 0.2500
H3 H 0.3750 0.4747 0.7500
H4 H 0.5253 0.1250 0.2500
Zr2 Zr 0.7500 0.2500 0.5000
```

The following is a DFT calculation (PBE-GGA) of a geometry-optimized Ti2WAu structure.

## Properties
formation energy: -0.165 eV/atom
symmetry: No. 225
energy above the most stable polymorph in this dataset: 0.105 eV/atom

```
data_Ti2WAu
_symmetry_space_group_name_H-M 'P 1'
_symmetry_Int_Tables_number 1
_symmetry_space_group_name_Hall 'P 1'
_cell_length_a 4.5207
_cell_length_b 4.5207
_cell_length_c 4.5207
_cell_angle_alpha 60.00
_cell_angle_beta 60.00
_cell_angle_gamma 60.00
loop_
_atom_site_label
_atom_site_type_symbol
_atom_site_fract_x
_atom_site_fract_y
_atom_site_fract_z
Au1 Au 0.5000 0.5000 0.5000
Ti1 Ti 0.7500 0.7500 0.7500
Ti2 Ti 0.2500 0.2500 0.2500
W1 W 0.0000 0.0000 0.0000
```

The following is a DFT calculation (PBE-GGA) of a geometry-optimized KRb2AgAu structure.

## Properties
formation energy: -0.007 eV/atom
symmetry: No. 123
energy above the most stable polymorph in this dataset: 0.000 eV/atom

```
data_KRb2AgAu
_symmetry_space_group_name_H-M 'P 1'
_symmetry_Int_Tables_number 1
_symmetry_space_group_name_Hall 'P 1'
_cell_length_a 6.7052
_cell_length_b 6.7052
_cell_length_c 5.4278
_cell_angle_alpha 90.00
_cell_angle_beta 90.00
_cell_angle_gamma 90.00
loop_
_atom_site_label
_atom_site_type_symbol
_atom_site_fract_x
_atom_site_fract_y
_atom_site_fract_z
Rb1 Rb 0.5000 0.0000 0.0000
Rb2 Rb 0.0000 0.5000 0.0000
Au1 Au 0.0000 0.0000 0.0000
Ag1 Ag 0.0000 0.0000 0.5000
K1 K 0.5000 0.5000 0.5000
```

The following is a DFT calculation (PBE-GGA) of a geometry-optimized NbSn2Rh structure.

## Properties
formation energy: 0.162 eV/atom
symmetry: No. 166

```
data_NbSn2Rh
_symmetry_space_group_name_H-M 'P 1'
_symmetry_Int_Tables_number 1
_symmetry_space_group_name_Hall 'P 1'
_cell_length_a 3.1289
_cell_length_b 3.1289
_cell_length_c 9.9868
_cell_angle_alpha 80.99
_cell_angle_beta 80.99
_cell_angle_gamma 60.00
loop_
_atom_site_label
_atom_site_type_symbol
_atom_site_fract_x
_atom_site_fract_y
_atom_site_fract_z
Rh1 Rh 0.5000 0.5000 0.5000
Nb1 Nb 0.0000 0.0000 0.0000
Sn1 Sn 0.0968 0.0968 0.7097
Sn2 Sn 0.9032 0.9032 0.2903
```

The following is a DFT calculation (PBE-GGA) of a geometry-optimized Ac2Pr5Y2 structure.

## Properties
formation energy: 0.053 eV/atom
symmetry: No. 10

```
data_Ac2Pr5Y2
_symmetry_space_group_name_H-M 'P 1'
_symmetry_Int_Tables_number 1
_symmetry_space_group_name_Hall 'P 1'
_cell_length_a 3.7059
_cell_length_b 10.2269
_cell_length_c 9.8798
_cell_angle_alpha 77.59
_cell_angle_beta 112.01
_cell_angle_gamma 90.00
loop_
_atom_site_label
_atom_site_type_symbol
_atom_site_fract_x
_atom_site_fract_y
_atom_site_fract_z
Y1 Y 0.6626 0.8906 0.6625
Ac1 Ac 0.4795 0.6844 0.9794
Pr1 Pr 0.8574 0.7909 0.3565
Pr2 Pr 0.6762 0.5436 0.6752
Pr3 Pr 0.0000 0.0000 0.0000
Ac2 Ac 0.5205 0.3156 0.0206
Pr4 Pr 0.3238 0.4564 0.3248
Pr5 Pr 0.1426 0.2091 0.6435
Y2 Y 0.3374 0.1094 0.3375
```

The following is a DFT calculation (PBE-GGA) of a geometry-optimized CeEr2Pb structure.

## Properties
formation energy: -0.032 eV/atom
symmetry: No. 225
energy above the most stable polymorph in this dataset: 0.211 eV/atom

```
data_CeEr2Pb
_symmetry_space_group_name_H-M 'P 1'
_symmetry_Int_Tables_number 1
_symmetry_space_group_name_Hall 'P 1'
_cell_length_a 5.4073
_cell_length_b 5.4073
_cell_length_c 5.4073
_cell_angle_alpha 60.00
_cell_angle_beta 60.00
_cell_angle_gamma 60.00
loop_
_atom_site_label
_atom_site_type_symbol
_atom_site_fract_x
_atom_site_fract_y
_atom_site_fract_z
Er1 Er 0.2500 0.2500 0.2500
Pb1 Pb 0.0000 0.0000 0.0000
Er2 Er 0.7500 0.7500 0.7500
Ce1 Ce 0.5000 0.5000 0.5000
```

The following is a DFT calculation (PBE-GGA) of a geometry-optimized MnCr2Pd structure.

## Properties
formation energy: 0.419 eV/atom
symmetry: No. 225
energy above the most stable polymorph in this dataset: 0.000 eV/atom

```
data_MnCr2Pd
_symmetry_space_group_name_H-M 'P 1'
_symmetry_Int_Tables_number 1
_symmetry_space_group_name_Hall 'P 1'
_cell_length_a 4.1461
_cell_length_b 4.1461
_cell_length_c 4.1461
_cell_angle_alpha 60.00
_cell_angle_beta 60.00
_cell_angle_gamma 60.00
loop_
_atom_site_label
_atom_site_type_symbol
_atom_site_fract_x
_atom_site_fract_y
_atom_site_fract_z
Cr1 Cr 0.7500 0.7500 0.7500
Mn1 Mn 0.0000 0.0000 0.0000
Pd1 Pd 0.5000 0.5000 0.5000
Cr2 Cr 0.2500 0.2500 0.2500
```